! RbTmGa2Cl6 | the Alexandria database | PBE-GGA | optimized geometry; values from VASP
! ΔE_f (raw) = -1603 meV/atom
! E_tot = -3.860 eV/atom
! total magnetic moment = 0.0 μB/f.u.
&SYSTEM
  ibrav = 0, nat = 10, ntyp = 4
/
ATOMIC_SPECIES
Rb 85.47 Rb.upf
Tm 168.93 Tm.upf
Ga 69.72 Ga.upf
Cl 35.45 Cl.upf
ATOMIC_POSITIONS crystal
Rb 0.000 0.000 0.000
Tm 0.487 0.488 0.537
Ga 0.293 0.294 0.120
Ga 0.801 0.800 0.599
Cl 0.119 0.430 0.792
Cl 0.254 0.838 0.334
Cl 0.429 0.657 0.794
Cl 0.574 0.255 0.332
Cl 0.656 0.120 0.793
Cl 0.838 0.575 0.334
CELL_PARAMETERS angstrom
7.547 0.000 0.000
3.770 6.555 0.000
3.772 2.175 6.670


! AlInAsBr2 | the Alexandria database | PBE-GGA | optimized geometry; values from VASP
! ΔE_f (raw) = -223 meV/atom
! relative energy among the computed polymorphs = 0.000 eV/atom
! E_tot = -3.118 eV/atom
! total magnetic moment = 0.0 μB/f.u.
&SYSTEM
  ibrav = 0, nat = 5, ntyp = 4
/
ATOMIC_SPECIES
Al 26.98 Al.upf
In 114.82 In.upf
As 74.92 As.upf
Br 79.90 Br.upf
ATOMIC_POSITIONS crystal
Al 0.000 0.000 0.000
In 0.500 0.500 0.500
As 0.000 0.000 0.500
Br 0.000 0.500 0.000
Br 0.500 0.000 0.000
CELL_PARAMETERS angstrom
5.189 0.000 0.000
0.000 5.189 0.000
0.000 0.000 5.027


! RbBi2F8 | the Alexandria database | PBE-GGA | optimized geometry; values from VASP
! ΔE_f (raw) = -2394 meV/atom
! E_tot = -4.548 eV/atom
! total magnetic moment = 0.0 μB/f.u.
&SYSTEM
  ibrav = 0, nat = 11, ntyp = 3
/
ATOMIC_SPECIES
Rb 85.47 Rb.upf
Bi 208.98 Bi.upf
F 19.00 F.upf
ATOMIC_POSITIONS crystal
Rb 0.000 0.000 0.000
Bi 0.324 0.676 0.500
Bi 0.676 0.324 0.500
F 0.044 0.335 0.556
F 0.272 0.728 0.000
F 0.335 0.044 0.556
F 0.410 0.410 0.242
F 0.590 0.590 0.758
F 0.665 0.956 0.444
F 0.728 0.272 0.000
F 0.956 0.665 0.444
CELL_PARAMETERS angstrom
3.590 -5.521 0.000
3.590 5.521 0.000
-0.568 0.000 4.420


! Rb2P2Au | the Alexandria database | PBE-GGA | optimized geometry; values from VASP
! E_tot = -3.310 eV/atom
! total magnetic moment = 0.0 μB/f.u.
! DFT formation energy = -0.10 eV/atom
&SYSTEM
  ibrav = 0, nat = 10, ntyp = 3
/
ATOMIC_SPECIES
Rb 85.47 Rb.upf
P 30.97 P.upf
Au 196.97 Au.upf
ATOMIC_POSITIONS crystal
Rb 0.206 0.294 0.000
Rb 0.294 0.794 0.000
Rb 0.706 0.206 0.000
Rb 0.794 0.706 0.000
P 0.083 0.583 0.500
P 0.417 0.083 0.500
P 0.583 0.917 0.500
P 0.917 0.417 0.500
Au 0.000 0.000 0.500
Au 0.500 0.500 0.500
CELL_PARAMETERS angstrom
8.561 0.000 0.000
0.000 8.561 0.000
0.000 0.000 4.613


! BiAsS | the Alexandria database | PBE-GGA | optimized geometry; values from VASP
! ΔE_f (raw) = -31 meV/atom
! relative energy among the computed polymorphs = 0.000 eV/atom
! E_tot = -4.251 eV/atom
! total magnetic moment = 0.0 μB/f.u.
&SYSTEM
  ibrav = 0, nat = 6, ntyp = 3
/
ATOMIC_SPECIES
Bi 208.98 Bi.upf
As 74.92 As.upf
S 32.06 S.upf
ATOMIC_POSITIONS crystal
Bi 0.165 0.250 0.344
Bi 0.835 0.750 0.656
As 0.123 0.250 0.959
As 0.877 0.750 0.041
S 0.286 0.750 0.596
S 0.714 0.250 0.404
CELL_PARAMETERS angstrom
5.759 0.000 0.000
0.000 3.757 0.000
-2.359 0.000 8.051


! K2ScTa | the Alexandria database | PBE-GGA | optimized geometry; values from VASP
! relative energy among the computed polymorphs = 1.162 eV/atom
! E_tot = -3.279 eV/atom
! total magnetic moment = 0.0 μB/f.u.
! DFT formation energy = 1.82 eV/atom
&SYSTEM
  ibrav = 0, nat = 4, ntyp = 3
/
ATOMIC_SPECIES
K 39.10 K.upf
Sc 44.96 Sc.upf
Ta 180.95 Ta.upf
ATOMIC_POSITIONS crystal
K 0.250 0.250 0.250
K 0.750 0.750 0.750
Sc 0.000 0.000 0.000
Ta 0.500 0.500 0.500
CELL_PARAMETERS angstrom
0.000 3.979 3.979
3.979 0.000 3.979
3.979 3.979 0.000


! Sm5Er6Th | the Alexandria database | PBE-GGA | optimized geometry; values from VASP
! E_tot = -4.841 eV/atom
! total magnetic moment = 0.0 μB/f.u.
! DFT formation energy = 0.02 eV/atom
&SYSTEM
  ibrav = 0, nat = 12, ntyp = 3
/
ATOMIC_SPECIES
Sm 150.36 Sm.upf
Er 167.26 Er.upf
Th 232.04 Th.upf
ATOMIC_POSITIONS crystal
Sm 0.000 0.000 0.000
Sm 0.166 0.666 0.500
Sm 0.335 0.335 0.000
Sm 0.665 0.665 0.000
Sm 0.834 0.334 0.500
Er 0.087 0.835 0.252
Er 0.254 0.500 0.754
Er 0.417 0.165 0.252
Er 0.583 0.835 0.748
Er 0.746 0.500 0.246
Er 0.913 0.165 0.748
Th 0.500 0.000 0.500
CELL_PARAMETERS angstrom
-2.533 4.989 7.598
2.533 -4.989 7.598
2.533 4.989 -7.598


! Ti2NbGaPb | the Alexandria database | PBE-GGA | optimized geometry; values from VASP
! E_tot = -5.090 eV/atom
! total magnetic moment = 0.0 μB/f.u.
! DFT formation energy = 1.43 eV/atom
&SYSTEM
  ibrav = 0, nat = 5, ntyp = 4
/
ATOMIC_SPECIES
Ti 47.87 Ti.upf
Nb 92.91 Nb.upf
Ga 69.72 Ga.upf
Pb 207.20 Pb.upf
ATOMIC_POSITIONS crystal
Ti 0.000 0.500 0.000
Ti 0.500 0.000 0.000
Nb 0.000 0.000 0.500
Ga 0.500 0.500 0.500
Pb 0.000 0.000 0.000
CELL_PARAMETERS angstrom
5.032 0.000 0.000
0.000 5.032 0.000
0.000 0.000 5.216


! Pm4PrZn5 | the Alexandria database | PBE-GGA | optimized geometry; values from VASP
! E_tot = -3.326 eV/atom
! total magnetic moment = 0.0 μB/f.u.
! DFT formation energy = -0.31 eV/atom
&SYSTEM
  ibrav = 0, nat = 10, ntyp = 3
/
ATOMIC_SPECIES
Pm 145.00 Pm.upf
Pr 140.91 Pr.upf
Zn 65.41 Zn.upf
ATOMIC_POSITIONS crystal
Pm 0.000 0.000 0.099
Pm 0.000 0.000 0.298
Pm 0.000 0.000 0.702
Pm 0.000 0.000 0.901
Pr 0.000 0.000 0.500
Zn 0.500 0.500 0.000
Zn 0.500 0.500 0.199
Zn 0.500 0.500 0.396
Zn 0.500 0.500 0.604
Zn 0.500 0.500 0.801
CELL_PARAMETERS angstrom
3.669 0.000 0.000
0.000 3.669 0.000
0.000 0.000 18.380


! BaAsSe2 | the Alexandria database | PBE-GGA | optimized geometry; values from VASP
! ΔE_f (raw) = -529 meV/atom
! E_tot = -3.915 eV/atom
! total magnetic moment = 1.0 μB/f.u.
&SYSTEM
  ibrav = 0, nat = 4, ntyp = 3
/
ATOMIC_SPECIES
Ba 137.33 Ba.upf
As 74.92 As.upf
Se 78.96 Se.upf
ATOMIC_POSITIONS crystal
Ba 0.000 0.000 0.000
As 0.500 0.500 0.500
Se 0.398 0.398 0.398
Se 0.602 0.602 0.602
CELL_PARAMETERS angstrom
2.503 1.445 8.168
-2.503 1.445 8.168
0.000 -2.891 8.168


! TbCuBr4 | the Alexandria database | PBE-GGA | optimized geometry; values from VASP
! ΔE_f (raw) = -1238 meV/atom
! E_tot = -3.808 eV/atom
! total magnetic moment = 0.0 μB/f.u.
&SYSTEM
  ibrav = 0, nat = 12, ntyp = 3
/
ATOMIC_SPECIES
Tb 158.93 Tb.upf
Cu 63.55 Cu.upf
Br 79.90 Br.upf
ATOMIC_POSITIONS crystal
Tb 0.000 0.500 0.000
Tb 0.500 0.000 0.500
Cu 0.136 0.864 0.250
Cu 0.864 0.136 0.750
Br 0.212 0.217 0.749
Br 0.217 0.212 0.249
Br 0.281 0.718 0.993
Br 0.282 0.719 0.507
Br 0.718 0.281 0.493
Br 0.719 0.282 0.007
Br 0.783 0.788 0.751
Br 0.788 0.783 0.251
CELL_PARAMETERS angstrom
5.450 -4.141 0.000
5.450 4.141 0.000
-0.143 0.000 8.069


! LaAs2Se | the Alexandria database | PBE-GGA | optimized geometry; values from VASP
! ΔE_f (raw) = -773 meV/atom
! relative energy among the computed polymorphs = 0.210 eV/atom
! E_tot = -5.201 eV/atom
! total magnetic moment = 0.0 μB/f.u.
&SYSTEM
  ibrav = 0, nat = 4, ntyp = 3
/
ATOMIC_SPECIES
La 138.91 La.upf
As 74.92 As.upf
Se 78.96 Se.upf
ATOMIC_POSITIONS crystal
La 0.000 0.000 0.000
As 0.000 0.500 0.500
As 0.500 0.000 0.500
Se 0.500 0.500 0.000
CELL_PARAMETERS angstrom
4.140 0.000 0.000
0.000 4.209 0.000
0.000 0.000 5.347


! K2SrCa | the Alexandria database | PBE-GGA | optimized geometry; values from VASP
! E_tot = -1.333 eV/atom
! total magnetic moment = 0.0 μB/f.u.
! DFT formation energy = 0.14 eV/atom
&SYSTEM
  ibrav = 0, nat = 4, ntyp = 3
/
ATOMIC_SPECIES
K 39.10 K.upf
Sr 87.62 Sr.upf
Ca 40.08 Ca.upf
ATOMIC_POSITIONS crystal
K 0.000 0.000 0.000
K 0.500 0.500 0.000
Sr 0.000 0.500 0.500
Ca 0.500 0.000 0.500
CELL_PARAMETERS angstrom
4.452 0.000 0.000
0.000 6.982 0.000
0.000 0.000 7.365


! NaLaPrTm | the Alexandria database | PBE-GGA | optimized geometry; values from VASP
! E_tot = -3.633 eV/atom
! total magnetic moment = 0.0 μB/f.u.
! DFT formation energy = 0.24 eV/atom
&SYSTEM
  ibrav = 0, nat = 4, ntyp = 4
/
ATOMIC_SPECIES
Na 22.99 Na.upf
La 138.91 La.upf
Pr 140.91 Pr.upf
Tm 168.93 Tm.upf
ATOMIC_POSITIONS crystal
Na 0.000 0.000 0.000
La 0.250 0.250 0.250
Pr 0.750 0.750 0.750
Tm 0.500 0.500 0.500
CELL_PARAMETERS angstrom
0.000 4.091 4.091
4.091 0.000 4.091
4.091 4.091 0.000


! BaNaAu | the Alexandria database | PBE-GGA | optimized geometry; values from VASP
! relative energy among the computed polymorphs = 0.000 eV/atom
! E_tot = -2.645 eV/atom
! total magnetic moment = 0.0 μB/f.u.
! DFT formation energy = -0.47 eV/atom
&SYSTEM
  ibrav = 0, nat = 6, ntyp = 3
/
ATOMIC_SPECIES
Ba 137.33 Ba.upf
Na 22.99 Na.upf
Au 196.97 Au.upf
ATOMIC_POSITIONS crystal
Ba 0.250 0.250 0.152
Ba 0.750 0.750 0.848
Na 0.250 0.750 0.500
Na 0.750 0.250 0.500
Au 0.250 0.250 0.754
Au 0.750 0.750 0.246
CELL_PARAMETERS angstrom
4.735 0.000 0.000
0.000 4.735 0.000
0.000 0.000 8.887


! K4Tb3YTe8 | the Alexandria database | PBE-GGA | optimized geometry; values from VASP
! ΔE_f (raw) = -1406 meV/atom
! E_tot = -4.523 eV/atom
! total magnetic moment = 0.0 μB/f.u.
&SYSTEM
  ibrav = 0, nat = 16, ntyp = 4
/
ATOMIC_SPECIES
K 39.10 K.upf
Tb 158.93 Tb.upf
Y 88.91 Y.upf
Te 127.60 Te.upf
ATOMIC_POSITIONS crystal
K 0.000 0.000 0.000
K 0.000 0.500 0.500
K 0.500 0.000 0.500
K 0.500 0.500 0.000
Tb 0.000 0.000 0.500
Tb 0.000 0.500 0.000
Tb 0.500 0.000 0.000
Y 0.500 0.500 0.500
Te 0.236 0.236 0.236
Te 0.237 0.736 0.736
Te 0.264 0.264 0.763
Te 0.264 0.763 0.264
Te 0.736 0.237 0.736
Te 0.736 0.736 0.237
Te 0.763 0.264 0.264
Te 0.764 0.764 0.764
CELL_PARAMETERS angstrom
4.508 2.603 8.245
-4.508 2.603 8.245
0.000 -5.205 8.245


! In2GaCoI | the Alexandria database | PBE-GGA | optimized geometry; values from VASP
! ΔE_f (raw) = -103 meV/atom
! E_tot = -3.535 eV/atom
! total magnetic moment = 0.0 μB/f.u.
&SYSTEM
  ibrav = 0, nat = 5, ntyp = 4
/
ATOMIC_SPECIES
In 114.82 In.upf
Ga 69.72 Ga.upf
Co 58.93 Co.upf
I 126.90 I.upf
ATOMIC_POSITIONS crystal
In 0.000 0.500 0.000
In 0.500 0.000 0.000
Ga 0.000 0.000 0.500
Co 0.000 0.000 0.000
I 0.500 0.500 0.500
CELL_PARAMETERS angstrom
5.179 0.000 0.000
0.000 5.179 0.000
0.000 0.000 4.680


! VNiOsRu | the Alexandria database | PBE-GGA | optimized geometry; values from VASP
! relative energy among the computed polymorphs = 0.131 eV/atom
! E_tot = -8.867 eV/atom
! total magnetic moment = 0.0 μB/f.u.
! DFT formation energy = -0.02 eV/atom
&SYSTEM
  ibrav = 0, nat = 4, ntyp = 4
/
ATOMIC_SPECIES
V 50.94 V.upf
Ni 58.69 Ni.upf
Os 190.23 Os.upf
Ru 101.07 Ru.upf
ATOMIC_POSITIONS crystal
V 0.000 0.000 0.000
Ni 0.500 0.500 0.500
Os 0.250 0.250 0.250
Ru 0.750 0.750 0.750
CELL_PARAMETERS angstrom
0.000 2.974 2.974
2.974 0.000 2.974
2.974 2.974 0.000


! Ag2Pb2Au | the Alexandria database | PBE-GGA | optimized geometry; values from VASP
! relative energy among the computed polymorphs = 0.105 eV/atom
! E_tot = -3.102 eV/atom
! total magnetic moment = 0.0 μB/f.u.
! DFT formation energy = 0.18 eV/atom
&SYSTEM
  ibrav = 0, nat = 10, ntyp = 3
/
ATOMIC_SPECIES
Ag 107.87 Ag.upf
Pb 207.20 Pb.upf
Au 196.97 Au.upf
ATOMIC_POSITIONS crystal
Ag 0.123 0.377 0.000
Ag 0.377 0.877 0.000
Ag 0.623 0.123 0.000
Ag 0.877 0.623 0.000
Pb 0.176 0.676 0.500
Pb 0.324 0.176 0.500
Pb 0.676 0.824 0.500
Pb 0.824 0.324 0.500
Au 0.000 0.000 0.500
Au 0.500 0.500 0.500
CELL_PARAMETERS angstrom
8.171 0.000 0.000
0.000 8.171 0.000
0.000 0.000 3.677


! KBe2Se | the Alexandria database | PBE-GGA | optimized geometry; values from VASP
! ΔE_f (raw) = 797 meV/atom
! E_tot = -2.212 eV/atom
! total magnetic moment = 0.0 μB/f.u.
&SYSTEM
  ibrav = 0, nat = 4, ntyp = 3
/
ATOMIC_SPECIES
K 39.10 K.upf
Be 9.01 Be.upf
Se 78.96 Se.upf
ATOMIC_POSITIONS crystal
K 0.000 0.000 0.000
Be 0.250 0.750 0.500
Be 0.750 0.250 0.500
Se 0.500 0.500 0.000
CELL_PARAMETERS angstrom
-2.119 2.119 4.478
2.119 -2.119 4.478
2.119 2.119 -4.478


! La2Pr2Os | the Alexandria database | PBE-GGA | optimized geometry; values from VASP
! E_tot = -6.185 eV/atom
! total magnetic moment = 0.0 μB/f.u.
! DFT formation energy = -0.06 eV/atom
&SYSTEM
  ibrav = 0, nat = 10, ntyp = 3
/
ATOMIC_SPECIES
La 138.91 La.upf
Pr 140.91 Pr.upf
Os 190.23 Os.upf
ATOMIC_POSITIONS crystal
La 0.176 0.725 0.744
La 0.275 0.824 0.256
La 0.725 0.176 0.744
La 0.824 0.275 0.256
Pr 0.248 0.248 0.602
Pr 0.276 0.276 0.107
Pr 0.724 0.724 0.893
Pr 0.752 0.752 0.398
Os 0.370 0.630 0.500
Os 0.630 0.370 0.500
CELL_PARAMETERS angstrom
3.876 -6.253 0.000
3.876 6.253 0.000
-3.068 0.000 6.883


! Sn5Pb | the Alexandria database | PBE-GGA | optimized geometry; values from VASP
! relative energy among the computed polymorphs = 0.008 eV/atom
! E_tot = -3.890 eV/atom
! total magnetic moment = 0.0 μB/f.u.
! DFT formation energy = 0.06 eV/atom
&SYSTEM
  ibrav = 0, nat = 6, ntyp = 2
/
ATOMIC_SPECIES
Sn 118.71 Sn.upf
Pb 207.20 Pb.upf
ATOMIC_POSITIONS crystal
Sn 0.000 0.000 0.000
Sn 0.164 0.836 0.500
Sn 0.326 0.674 0.000
Sn 0.674 0.326 0.000
Sn 0.836 0.164 0.500
Pb 0.500 0.500 0.500
CELL_PARAMETERS angstrom
2.927 -8.489 0.000
2.927 8.489 0.000
0.000 0.000 3.422